1.
Ba2LaW: relaxed, PBE.

Cell and atoms, written as CIF:
```
data_Ba2LaW
_symmetry_space_group_name_H-M 'C 1 m 1'
_symmetry_Int_Tables_number 8
_symmetry_space_group_name_Hall 'C -2y'
_cell_length_a 9.341
_cell_length_b 3.754
_cell_length_c 9.321
_cell_angle_alpha 90.00
_cell_angle_beta 97.19
_cell_angle_gamma 90.00
loop_
_atom_site_label
_atom_site_fract_x
_atom_site_fract_y
_atom_site_fract_z
Ba1 0.000 0.000 0.000
Ba2 0.218 0.000 0.607
La1 0.442 0.000 0.336
W1 0.207 0.500 0.255
```

Summary:
Energy above the most stable polymorph in this dataset, eV/atom: 0.0953

***

2.
FeAsOs3: relaxed, PBE.

Cell and atoms, written as CIF:
```
data_FeAsOs3
_symmetry_space_group_name_H-M 'P m -3 m'
_symmetry_Int_Tables_number 221
_symmetry_space_group_name_Hall '-P 4 2 3'
_cell_length_a 4.472
_cell_length_b 4.472
_cell_length_c 4.472
_cell_angle_alpha 90.00
_cell_angle_beta 90.00
_cell_angle_gamma 90.00
loop_
_atom_site_label
_atom_site_fract_x
_atom_site_fract_y
_atom_site_fract_z
Fe1 0.000 0.000 0.000
As1 0.500 0.500 0.500
Os1 0.000 0.500 0.500
```

Summary:
Energy above the most stable polymorph in this dataset, eV/atom: 0.2520

***

3.
TlAg2GeTe4: relaxed, PBE.

Cell and atoms, written as CIF:
```
data_TlAg2GeTe4
_symmetry_space_group_name_H-M 'I 2 2 2'
_symmetry_Int_Tables_number 23
_symmetry_space_group_name_Hall 'I 2 2'
_cell_length_a 7.559
_cell_length_b 7.562
_cell_length_c 8.943
_cell_angle_alpha 90.00
_cell_angle_beta 90.00
_cell_angle_gamma 90.00
loop_
_atom_site_label
_atom_site_fract_x
_atom_site_fract_y
_atom_site_fract_z
Tl1 0.000 0.000 0.000
Ag1 0.000 0.500 0.253
Ge1 0.000 0.000 0.500
Te1 0.205 0.205 0.660
```

Summary:
Formation energy without anion corrections, eV/atom: -0.0899

***

4.
Tl2FeAu: relaxed, PBE.

Cell and atoms, written as CIF:
```
data_Tl2FeAu
_symmetry_space_group_name_H-M 'P 4 m m'
_symmetry_Int_Tables_number 99
_symmetry_space_group_name_Hall 'P 4 -2'
_cell_length_a 3.257
_cell_length_b 3.257
_cell_length_c 8.421
_cell_angle_alpha 90.00
_cell_angle_beta 90.00
_cell_angle_gamma 90.00
loop_
_atom_site_label
_atom_site_fract_x
_atom_site_fract_y
_atom_site_fract_z
Tl1 0.000 0.000 0.000
Tl2 0.500 0.500 0.342
Fe1 0.500 0.500 0.772
Au1 0.000 0.000 0.609
```

Summary:
Energy above the most stable polymorph in this dataset, eV/atom: 0.0000

***

5.
NaPdI: relaxed, PBE.

Cell and atoms, written as CIF:
```
data_NaPdI
_symmetry_space_group_name_H-M 'C 1 c 1'
_symmetry_Int_Tables_number 9
_symmetry_space_group_name_Hall 'C -2yc'
_cell_length_a 10.246
_cell_length_b 7.104
_cell_length_c 5.696
_cell_angle_alpha 90.00
_cell_angle_beta 123.59
_cell_angle_gamma 90.00
loop_
_atom_site_label
_atom_site_fract_x
_atom_site_fract_y
_atom_site_fract_z
Na1 0.000 0.249 0.000
Pd1 0.250 0.500 0.000
I1 0.250 0.194 0.750
```

Summary:
Energy above the most stable polymorph in this dataset, eV/atom: 0.0070
Formation energy without anion corrections, eV/atom: -0.5229

***

6.
Ce2Mg5Ga4: relaxed, PBE.

Cell and atoms, written as CIF:
```
data_Ce2Mg5Ga4
_symmetry_space_group_name_H-M 'F m m m'
_symmetry_Int_Tables_number 69
_symmetry_space_group_name_Hall '-F 2 2'
_cell_length_a 6.139
_cell_length_b 11.186
_cell_length_c 15.052
_cell_angle_alpha 90.00
_cell_angle_beta 90.00
_cell_angle_gamma 90.00
loop_
_atom_site_label
_atom_site_fract_x
_atom_site_fract_y
_atom_site_fract_z
Ce1 0.000 0.000 0.147
Mg1 0.000 0.000 0.500
Mg2 0.250 0.250 0.000
Mg3 0.250 0.250 0.250
Ga1 0.000 0.114 0.350
```

Summary:
Electronic total energy, eV/f.u.: -33.850

***

7.
Dy3ErSc2Te6: relaxed, PBE.

Cell and atoms, written as CIF:
```
data_Dy3ErSc2Te6
_symmetry_space_group_name_H-M 'C 1 2/m 1'
_symmetry_Int_Tables_number 12
_symmetry_space_group_name_Hall '-C 2y'
_cell_length_a 18.693
_cell_length_b 4.277
_cell_length_c 8.604
_cell_angle_alpha 90.00
_cell_angle_beta 103.44
_cell_angle_gamma 90.00
loop_
_atom_site_label
_atom_site_fract_x
_atom_site_fract_y
_atom_site_fract_z
Dy1 0.000 0.000 0.000
Dy2 0.163 0.500 0.329
Er1 0.000 0.000 0.500
Sc1 0.167 0.500 0.833
Te1 0.005 0.500 0.751
Te2 0.168 0.000 0.592
Te3 0.170 0.000 0.075
```

Summary:
Formation energy without anion corrections, eV/atom: -1.2052

***

8.
Sb2IrRh: relaxed, PBE.

Cell and atoms, written as CIF:
```
data_Sb2IrRh
_symmetry_space_group_name_H-M 'P 4 m m'
_symmetry_Int_Tables_number 99
_symmetry_space_group_name_Hall 'P 4 -2'
_cell_length_a 3.214
_cell_length_b 3.214
_cell_length_c 8.093
_cell_angle_alpha 90.00
_cell_angle_beta 90.00
_cell_angle_gamma 90.00
loop_
_atom_site_label
_atom_site_fract_x
_atom_site_fract_y
_atom_site_fract_z
Sb1 0.000 0.000 0.000
Sb2 0.500 0.500 0.409
Ir1 0.000 0.000 0.594
Rh1 0.500 0.500 0.821
```

Summary:
Energy above the most stable polymorph in this dataset, eV/atom: 0.1587
Formation energy without anion corrections, eV/atom: -0.0439

***

9.
CrPtPb: relaxed, PBE.

Cell and atoms, written as CIF:
```
data_CrPtPb
_symmetry_space_group_name_H-M 'F -4 3 m'
_symmetry_Int_Tables_number 216
_symmetry_space_group_name_Hall 'F -4 2 3'
_cell_length_a 6.376
_cell_length_b 6.376
_cell_length_c 6.376
_cell_angle_alpha 90.00
_cell_angle_beta 90.00
_cell_angle_gamma 90.00
loop_
_atom_site_label
_atom_site_fract_x
_atom_site_fract_y
_atom_site_fract_z
Cr1 0.000 0.000 0.000
Pt1 0.250 0.250 0.250
Pb1 0.000 0.000 0.500
```

Summary:
Energy above the most stable polymorph in this dataset, eV/atom: 0.0000

***

10.
AsCS2: relaxed, PBE.

Cell and atoms, written as CIF:
```
data_AsCS2
_symmetry_space_group_name_H-M 'R -3 m'
_symmetry_Int_Tables_number 166
_symmetry_space_group_name_Hall '-R 3 2"'
_cell_length_a 3.0870
_cell_length_b 3.0870
_cell_length_c 22.3397
_cell_angle_alpha 90.00
_cell_angle_beta 90.00
_cell_angle_gamma 120.00
loop_
_atom_site_label
_atom_site_fract_x
_atom_site_fract_y
_atom_site_fract_z
As1 0.0000 0.0000 0.0000
C1 0.0000 0.0000 0.5000
S1 0.0000 0.0000 0.1123
```

Summary:
Energy above the most stable polymorph in this dataset, eV/atom: 0.7529
Formation energy without anion corrections, eV/atom: 1.2437

***

11.
YSc2Pt: relaxed, PBE.

Cell and atoms, written as CIF:
```
data_YSc2Pt
_symmetry_space_group_name_H-M 'R 3 m'
_symmetry_Int_Tables_number 160
_symmetry_space_group_name_Hall 'R 3 -2"'
_cell_length_a 3.7935
_cell_length_b 3.7935
_cell_length_c 24.9191
_cell_angle_alpha 90.00
_cell_angle_beta 90.00
_cell_angle_gamma 120.00
loop_
_atom_site_label
_atom_site_fract_x
_atom_site_fract_y
_atom_site_fract_z
Y1 0.0000 0.0000 0.0000
Sc1 0.0000 0.0000 0.5578
Sc2 0.0000 0.0000 0.7715
Pt1 0.0000 0.0000 0.1645
```

Summary:
Energy above the most stable polymorph in this dataset, eV/atom: 0.2371

***

12.
ZnFeCu2: relaxed, PBE.

Cell and atoms, written as CIF:
```
data_ZnFeCu2
_symmetry_space_group_name_H-M 'I 4/m m m'
_symmetry_Int_Tables_number 139
_symmetry_space_group_name_Hall '-I 4 2'
_cell_length_a 3.749
_cell_length_b 3.749
_cell_length_c 7.110
_cell_angle_alpha 90.00
_cell_angle_beta 90.00
_cell_angle_gamma 90.00
loop_
_atom_site_label
_atom_site_fract_x
_atom_site_fract_y
_atom_site_fract_z
Zn1 0.000 0.000 0.000
Fe1 0.000 0.000 0.500
Cu1 0.000 0.500 0.250
```

Summary:
Electronic total energy, eV/f.u.: -17.564

***

13.
LiHfP2S: relaxed, PBE.

Cell and atoms, written as CIF:
```
data_LiHfP2S
_symmetry_space_group_name_H-M 'P 4/m m m'
_symmetry_Int_Tables_number 123
_symmetry_space_group_name_Hall '-P 4 2'
_cell_length_a 4.053
_cell_length_b 4.053
_cell_length_c 4.985
_cell_angle_alpha 90.00
_cell_angle_beta 90.00
_cell_angle_gamma 90.00
loop_
_atom_site_label
_atom_site_fract_x
_atom_site_fract_y
_atom_site_fract_z
Li1 0.000 0.000 0.000
Hf1 0.500 0.500 0.500
P1 0.000 0.500 0.000
S1 0.000 0.000 0.500
```

Summary:
Energy above the most stable polymorph in this dataset, eV/atom: 0.4383
Formation energy without anion corrections, eV/atom: 0.2370

***

14.
Sr2SmCd: relaxed, PBE.

Cell and atoms, written as CIF:
```
data_Sr2SmCd
_symmetry_space_group_name_H-M 'P 4/m m m'
_symmetry_Int_Tables_number 123
_symmetry_space_group_name_Hall '-P 4 2'
_cell_length_a 3.848
_cell_length_b 3.848
_cell_length_c 10.233
_cell_angle_alpha 90.00
_cell_angle_beta 90.00
_cell_angle_gamma 90.00
loop_
_atom_site_label
_atom_site_fract_x
_atom_site_fract_y
_atom_site_fract_z
Sr1 0.000 0.000 0.213
Sm1 0.500 0.500 0.500
Cd1 0.500 0.500 0.000
```

Summary:
Energy above the most stable polymorph in this dataset, eV/atom: 0.0000

***

15.
TbReTc: relaxed, PBE.

Cell and atoms, written as CIF:
```
data_TbReTc
_symmetry_space_group_name_H-M 'I 4 m m'
_symmetry_Int_Tables_number 107
_symmetry_space_group_name_Hall 'I 4 -2'
_cell_length_a 3.124
_cell_length_b 3.124
_cell_length_c 11.655
_cell_angle_alpha 90.00
_cell_angle_beta 90.00
_cell_angle_gamma 90.00
loop_
_atom_site_label
_atom_site_fract_x
_atom_site_fract_y
_atom_site_fract_z
Tb1 0.000 0.000 0.000
Re1 0.000 0.000 0.308
Tc1 0.000 0.000 0.695
```

Summary:
Energy above the most stable polymorph in this dataset, eV/atom: 0.1479

***

16.
NaGaPb2: relaxed, PBE.

Cell and atoms, written as CIF:
```
data_NaGaPb2
_symmetry_space_group_name_H-M 'F -4 3 m'
_symmetry_Int_Tables_number 216
_symmetry_space_group_name_Hall 'F -4 2 3'
_cell_length_a 7.651
_cell_length_b 7.651
_cell_length_c 7.651
_cell_angle_alpha 90.00
_cell_angle_beta 90.00
_cell_angle_gamma 90.00
loop_
_atom_site_label
_atom_site_fract_x
_atom_site_fract_y
_atom_site_fract_z
Na1 0.000 0.000 0.000
Ga1 0.250 0.250 0.750
Pb1 0.000 0.000 0.500
Pb2 0.250 0.250 0.250
```

Summary:
Electronic total energy, eV/f.u.: -11.915

***

17.
MgRe2Se: relaxed, PBE.

Cell and atoms, written as CIF:
```
data_MgRe2Se
_symmetry_space_group_name_H-M 'I m m 2'
_symmetry_Int_Tables_number 44
_symmetry_space_group_name_Hall 'I 2 -2'
_cell_length_a 3.009
_cell_length_b 4.643
_cell_length_c 9.463
_cell_angle_alpha 90.00
_cell_angle_beta 90.00
_cell_angle_gamma 90.00
loop_
_atom_site_label
_atom_site_fract_x
_atom_site_fract_y
_atom_site_fract_z
Mg1 0.000 0.000 0.000
Re1 0.000 0.000 0.504
Re2 0.000 0.500 0.780
Se1 0.000 0.500 0.225
```

Summary:
Energy above the most stable polymorph in this dataset, eV/atom: 0.4164
Formation energy without anion corrections, eV/atom: 0.5104

***

18.
Pr12TlSn3: relaxed, PBE.

Cell and atoms, written as CIF:
```
data_Pr12TlSn3
_symmetry_space_group_name_H-M 'P 4/m m m'
_symmetry_Int_Tables_number 123
_symmetry_space_group_name_Hall '-P 4 2'
_cell_length_a 5.007
_cell_length_b 5.007
_cell_length_c 19.978
_cell_angle_alpha 90.00
_cell_angle_beta 90.00
_cell_angle_gamma 90.00
loop_
_atom_site_label
_atom_site_fract_x
_atom_site_fract_y
_atom_site_fract_z
Pr1 0.000 0.000 0.000
Pr2 0.000 0.000 0.248
Pr3 0.000 0.000 0.500
Pr4 0.000 0.500 0.124
Pr5 0.000 0.500 0.372
Tl1 0.500 0.500 0.500
Sn1 0.500 0.500 0.000
Sn2 0.500 0.500 0.250
```

Summary:
Electronic total energy, eV/f.u.: -78.053

***

19.
TlAgGeHSe: relaxed, PBE.

Cell and atoms, written as CIF:
```
data_TlAgGeHSe
_symmetry_space_group_name_H-M 'C 1 m 1'
_symmetry_Int_Tables_number 8
_symmetry_space_group_name_Hall 'C -2y'
_cell_length_a 11.308
_cell_length_b 4.722
_cell_length_c 4.287
_cell_angle_alpha 90.00
_cell_angle_beta 110.29
_cell_angle_gamma 90.00
loop_
_atom_site_label
_atom_site_fract_x
_atom_site_fract_y
_atom_site_fract_z
Tl1 0.000 0.000 0.000
Ag1 0.079 0.500 0.538
Ge1 0.338 0.000 0.392
H1 0.310 0.000 0.735
Se1 0.239 0.500 0.193
```

Summary:
Energy above the most stable polymorph in this dataset, eV/atom: 0.0483

***

20.
Sm3CdRh4: relaxed, PBE.

Cell and atoms, written as CIF:
```
data_Sm3CdRh4
_symmetry_space_group_name_H-M 'R -3 m'
_symmetry_Int_Tables_number 166
_symmetry_space_group_name_Hall '-R 3 2"'
_cell_length_a 4.8547
_cell_length_b 4.8547
_cell_length_c 23.6895
_cell_angle_alpha 90.00
_cell_angle_beta 90.00
_cell_angle_gamma 120.00
loop_
_atom_site_label
_atom_site_fract_x
_atom_site_fract_y
_atom_site_fract_z
Sm1 0.0000 0.0000 0.0000
Sm2 0.0000 0.0000 0.2428
Cd1 0.0000 0.0000 0.5000
Rh1 0.0000 0.0000 0.1219
Rh2 0.0000 0.0000 0.3756
```

Summary:
Electronic total energy, eV/f.u.: -49.478